Material: In2AgB2Rh5
Method: DFT, PBE
State: relaxed

```
In2AgB2Rh5
1.0
2.961 0.000 0.000
0.000 9.804 0.000
0.000 0.000 9.804
In Ag B Rh
4 2 4 10
Cartesian
0.000 6.667 1.765 In
0.000 3.137 8.038 In
0.000 1.765 3.137 In
0.000 8.038 6.667 In
0.000 0.000 0.000 Ag
0.000 4.902 4.902 Ag
0.000 1.214 6.116 B
0.000 8.589 3.687 B
0.000 6.116 8.589 B
0.000 3.687 1.214 B
1.481 2.239 0.669 Rh
1.481 7.565 9.134 Rh
1.481 0.669 7.565 Rh
1.481 7.141 4.232 Rh
1.481 9.134 2.239 Rh
1.481 2.663 5.571 Rh
1.481 5.571 7.141 Rh
1.481 4.232 2.663 Rh
1.481 4.902 0.000 Rh
1.481 0.000 4.902 Rh
```

* calculated formation energy: -0.266 eV/atom
* DOS(E_F): 4.80 states/eV/f.u.
* total energy: -6.11 eV/atom
* theoretical density: 10.19 Mg/m³
* total magnetic moment: 0.00 μB/cell
* crystal system: tetragonal